(1)
Compound: TbNd2Y4Sc
Source: Alexandria via LeMat-Bulk
Functional: PBE
Structure: optimized geometry

abc: 5.043 5.043 10.036
angles: 90.00 90.00 90.00
Space group P4/mmm (No. 123)
Symmetry-distinct sites (fractional):
Tb  0.000  0.000  0.000 (multiplicity 1)
Nd  0.000  0.000  0.500 (multiplicity 1)
Nd  0.500  0.500  0.000 (multiplicity 1)
Y  0.000  0.500  0.255 (multiplicity 4)
Sc  0.500  0.500  0.500 (multiplicity 1)

## Properties
- M_tot (μB/cell) = 0.0
- energy relative to the elements (eV/atom) = 0.0360



(2)
Compound: Tb2NdY6Sc
Source: Alexandria via LeMat-Bulk
Functional: PBE
Structure: optimized geometry

abc: 9.293 15.817 8.750
angles: 90.00 91.96 90.00
Space group C2/c (No. 15)
Symmetry-distinct sites (fractional):
Tb  0.233  0.055  0.443 (multiplicity 8)
Nd  0.000  0.468  0.250 (multiplicity 4)
Y  0.037  0.329  0.948 (multiplicity 8)
Y  0.105  0.129  0.091 (multiplicity 8)
Y  0.246  0.206  0.707 (multiplicity 8)
Sc  0.000  0.056  0.750 (multiplicity 4)

## Properties
- M_tot (μB/cell) = 0.0
- energy relative to the elements (eV/atom) = 0.1171



(3)
Compound: Tb2Nd3Y6Sc
Source: Alexandria via LeMat-Bulk
Functional: PBE
Structure: optimized geometry

abc: 6.195 10.726 11.813
angles: 90.00 100.04 90.00
Space group C2/m (No. 12)
Symmetry-distinct sites (fractional):
Tb  0.000  0.166  0.000 (multiplicity 4)
Nd  0.000  0.000  0.500 (multiplicity 2)
Nd  0.000  0.334  0.500 (multiplicity 4)
Y  0.246  0.335  0.245 (multiplicity 8)
Y  0.250  0.000  0.245 (multiplicity 4)
Sc  0.000  0.500  0.000 (multiplicity 2)

## Properties
- M_tot (μB/cell) = 0.0
- energy relative to the elements (eV/atom) = 0.0293



(4)
Compound: TbNd2Y6Sc3
Source: Alexandria via LeMat-Bulk
Functional: PBE
Structure: optimized geometry

abc: 6.111 10.585 11.571
angles: 90.00 100.14 90.00
Space group C2/m (No. 12)
Symmetry-distinct sites (fractional):
Tb  0.000  0.000  0.000 (multiplicity 2)
Nd  0.000  0.333  0.000 (multiplicity 4)
Y  0.246  0.000  0.739 (multiplicity 4)
Y  0.247  0.334  0.739 (multiplicity 8)
Sc  0.000  0.166  0.500 (multiplicity 4)
Sc  0.000  0.500  0.500 (multiplicity 2)

## Properties
- M_tot (μB/cell) = 0.0
- energy relative to the elements (eV/atom) = 0.0516